Material: NbAlAu2
Method: DFT, PBE
State: relaxed

Geometry as extended XYZ:
```
4
Lattice="0.0000 3.2577 3.2577 3.2577 0.0000 3.2577 3.2577 3.2577 0.0000" Properties=species:S:1:pos:R:3 pbc="T T T"
Nb 0.0000 0.0000 0.0000
Al 4.8865 4.8865 4.8865
Au 1.6288 1.6288 1.6288
Au 3.2577 3.2577 3.2577
```

## Properties
Energy in eV/atom: -5.13
Size of the total moment in μB per atom: 0.168
Mass density in kg/m³: 12340